Model w:
Computed, not measured: a relaxed Tm4MgCu crystal at the PBE level of DFT.

Unit cell a=4.8114 b=4.8114 c=7.5414 alpha=90.00 beta=90.00 gamma=90.00
Space group P4/mmm (No. 123)
Symmetry-distinct sites (fractional):
Tm 0.0000 0.5000 0.2147 [4 per cell]
Mg 0.0000 0.0000 0.5000 [1 per cell]
Cu 0.5000 0.5000 0.0000 [1 per cell]

Model x:
Computed, not measured: a relaxed Tm4MgCu crystal at the PBE level of DFT.

Unit cell a=13.5576 b=13.5576 c=13.5576 alpha=90.00 beta=90.00 gamma=90.00
Space group F-43m (No. 216)
Symmetry-distinct sites (fractional):
Tm 0.0000 0.0000 0.1844 [24 per cell]
Tm 0.0627 0.2500 0.2500 [24 per cell]
Tm 0.0999 0.0999 0.5999 [16 per cell]
Mg 0.1702 0.1702 0.8298 [16 per cell]
Cu 0.1065 0.1065 0.3935 [16 per cell]

Most stable structure, least stable structure: model x, model w.

Model w:
Computed, not measured: a relaxed Mg3VCu crystal at the PBE level of DFT.

Unit cell a=5.1761 b=5.1761 c=5.1761 alpha=90.00 beta=90.00 gamma=90.00
Space group Pm-3m (No. 221)
Symmetry-distinct sites (fractional):
Mg 0.0000 0.0000 0.5000 [3 per cell]
V 0.0000 0.0000 0.0000 [1 per cell]
Cu 0.5000 0.5000 0.5000 [1 per cell]

Model x:
Computed, not measured: a relaxed Mg3VCu crystal at the PBE level of DFT.

Unit cell a=4.8076 b=4.8076 c=4.8076 alpha=90.00 beta=90.00 gamma=90.00
Space group Pm-3m (No. 221)
Symmetry-distinct sites (fractional):
Mg 0.0000 0.0000 0.5000 [3 per cell]
V 0.5000 0.5000 0.5000 [1 per cell]
Cu 0.0000 0.0000 0.0000 [1 per cell]

Most stable structure, least stable structure: model x, model w.

Model w:
Computed, not measured: a relaxed Mg6VCu crystal at the PBE level of DFT.

Unit cell a=4.8848 b=6.0805 c=10.6406 alpha=90.00 beta=90.00 gamma=90.00
Space group Amm2 (No. 38)
Symmetry-distinct sites (fractional):
Mg 0.0000 0.0000 0.0000 [2 per cell]
Mg 0.0000 0.0000 0.4967 [2 per cell]
Mg 0.0000 0.2494 0.7373 [4 per cell]
Mg 0.5000 0.2480 0.4045 [4 per cell]
V 0.5000 0.0000 0.6539 [2 per cell]
Cu 0.5000 0.0000 0.1575 [2 per cell]

Model x:
Computed, not measured: a relaxed Mg6VCu crystal at the PBE level of DFT.

Unit cell a=4.7202 b=6.8954 c=9.6971 alpha=90.00 beta=90.00 gamma=90.00
Space group Amm2 (No. 38)
Symmetry-distinct sites (fractional):
Mg 0.0000 0.0000 0.0000 [2 per cell]
Mg 0.0000 0.2184 0.2665 [4 per cell]
Mg 0.5000 0.0000 0.7680 [2 per cell]
Mg 0.5000 0.2473 0.5264 [4 per cell]
V 0.0000 0.0000 0.5289 [2 per cell]
Cu 0.5000 0.0000 0.3033 [2 per cell]

Most stable structure, least stable structure: model x, model w.

Model w:
Computed, not measured: a relaxed Mg6CuW crystal at the PBE level of DFT.

Unit cell a=4.7804 b=6.0213 c=10.5716 alpha=90.00 beta=90.00 gamma=90.00
Space group Amm2 (No. 38)
Symmetry-distinct sites (fractional):
Mg 0.0000 0.0000 0.0000 [2 per cell]
Mg 0.0000 0.2377 0.2564 [4 per cell]
Mg 0.5000 0.0000 0.8345 [2 per cell]
Mg 0.5000 0.2408 0.5837 [4 per cell]
Cu 0.0000 0.0000 0.4786 [2 per cell]
W 0.5000 0.0000 0.3398 [2 per cell]

Model x:
Computed, not measured: a relaxed Mg6CuW crystal at the PBE level of DFT.

Unit cell a=4.7650 b=5.9869 c=10.5750 alpha=90.00 beta=90.00 gamma=90.00
Space group Amm2 (No. 38)
Symmetry-distinct sites (fractional):
Mg 0.0000 0.0000 0.0000 [2 per cell]
Mg 0.0000 0.0000 0.4946 [2 per cell]
Mg 0.0000 0.2417 0.7631 [4 per cell]
Mg 0.5000 0.2486 0.0982 [4 per cell]
Cu 0.5000 0.0000 0.3422 [2 per cell]
W 0.5000 0.0000 0.8492 [2 per cell]

Most stable structure, least stable structure: model w, model x.